This record from Alexandria describes a relaxed structure of CaTa. The functional is GGA-PBE.

Energy relative to the lowest polymorph listed for this composition (eV per formula unit): 0.51
Total moment (μB per formula unit): 0.00
Space-group type: No. 166
Calculated total energy (eV/atom): -6.32
DFT formation energy (meV per atom): 609.5

abc: 10.760 10.760 10.760
angles: 18.26 18.26 18.26
Fractional positions:
Ca (0.114, 0.114, 0.114)
Ca (0.886, 0.886, 0.886)
Ta (0.362, 0.362, 0.362)
Ta (0.638, 0.638, 0.638)